VASP calculation (GGA-PBE) on an optimized crystal structure of FeReHg.

Cell: 2.8348 2.8348 6.8325 Å, 90.00 90.00 120.00°
Closest atoms and distances in Å follow each position.
Space group P3m1 (No. 156)
One atom of each set of equivalent atoms:
Fe 0.0000 0.0000 0.0000 x1  3 Re 2.50
Re 0.3333 0.6667 0.7234 x1  3 Fe 2.50
Hg 0.6667 0.3333 0.3429 x1  6 Hg 2.83, 3 Fe 2.86, 3 Re 3.07

E above lowest polymorph ... 0.18 eV/f.u.
Total energy ... -19.69 eV per cell
Calculated density ... 15.46 g/cm3
N(E_F) ... 1.065 states/eV/atom

***

VASP calculation (GGA-PBE) on an optimized crystal structure of YMgBe3.

Cell: 4.4195 4.4195 4.4195 Å, 90.00 90.00 90.00°
Closest atoms and distances in Å follow each position.
Space group Pm-3m (No. 221)
One atom of each set of equivalent atoms:
Y 0.0000 0.0000 0.0000 x1  12 Be 3.13
Mg 0.5000 0.5000 0.5000 x1  6 Be 2.21
Be 0.0000 0.5000 0.5000 x3  2 Mg 2.21

E above lowest polymorph ... 0.00 eV/f.u.
Total energy ... -15.40 eV per cell
Calculated density ... 2.70 g/cm3
N(E_F) ... 0.329 states/eV/atom

***

no.,ΔE_f (kJ/mol of formula units)
1,147
2,370